# 1
## HfZr5Zn3 (PBE)

Data for crystalline HfZr5Zn3 at its relaxed geometry.

Calculated values
Its crystal system is hexagonal. The total moment is 4.17 Bohr magnetons per cell. As for the space group: P6_3/mcm, No. 193. The formation energy is -114 meV/atom.

POSCAR file:
```
HfZr5Zn3
1.0
5.9737 0.0000 0.0000
0.0000 8.3679 0.0000
0.0000 -4.1839 7.2469
Zr Zn Hf
10 6 2
Direct
0.2500 0.3347 0.3347 Zr
0.0000 0.6667 0.3333 Zr
0.0000 0.3333 0.6667 Zr
0.2500 0.0000 0.6653 Zr
0.5000 0.6667 0.3333 Zr
0.7500 0.3347 0.0000 Zr
0.2500 0.6653 0.0000 Zr
0.7500 0.6653 0.6653 Zr
0.5000 0.3333 0.6667 Zr
0.7500 0.0000 0.3347 Zr
0.7500 0.3304 0.3304 Zn
0.7500 0.6696 0.0000 Zn
0.7500 0.0000 0.6696 Zn
0.2500 0.3304 0.0000 Zn
0.2500 0.6696 0.6696 Zn
0.2500 0.0000 0.3304 Zn
0.5000 0.0000 0.0000 Hf
0.0000 0.0000 0.0000 Hf
```

# 2
## TiSBrCl2 (PBE)

Data for crystalline TiSBrCl2 at its relaxed geometry.

Calculated values
Its crystal system is tetragonal. The relative energy among the computed polymorphs is 1371 meV/atom. The total moment is 0.04 Bohr magnetons per cell. As for the space group: P4/mmm, No. 123. The uncorrected formation energy comes out at 0.71 eV/atom.

POSCAR file:
```
TiSBrCl2
1.0
4.9892 0.0000 0.0000
0.0000 4.9892 0.0000
0.0000 0.0000 5.3758
Cl S Br Ti
2 1 1 1
Direct
0.0000 0.5000 0.0000 Cl
0.5000 0.0000 0.0000 Cl
0.0000 0.0000 0.5000 S
0.0000 0.0000 0.0000 Br
0.5000 0.5000 0.5000 Ti
```

# 3
## SbTeI2F (PBE)

Data for crystalline SbTeI2F at its relaxed geometry.

Calculated values
Its crystal system is tetragonal. The relative energy among the computed polymorphs is 0 meV/atom. The total moment is 0.00 Bohr magnetons per cell. As for the space group: P4/mmm, No. 123. The uncorrected formation energy comes out at -0.04 eV/atom.

POSCAR file:
```
SbTeI2F
1.0
-2.0480 0.3911 -5.6189
-5.6300 -0.3205 2.0298
-0.1185 4.2093 0.3362
I F Sb Te
2 1 1 1
Direct
0.5000 0.0000 0.0000 I
0.0000 0.5000 0.0000 I
0.0000 0.0000 0.0000 F
0.0000 0.0000 0.5000 Sb
0.5000 0.5000 0.5000 Te
```

# 4
## Co2TcAs (PBE)

Data for crystalline Co2TcAs at its relaxed geometry.

Calculated values
Its crystal system is orthorhombic. The total moment is 0.24 Bohr magnetons per cell. As for the space group: Amm2, No. 38. The formation energy is 49 meV/atom.

POSCAR file:
```
Co2TcAs
1.0
3.5908 0.0000 0.0000
0.0000 2.7375 -0.0621
0.0000 1.4837 5.1691
Tc Co As
1 2 1
Direct
0.0000 0.7023 0.4700 Tc
0.0000 0.9530 0.9699 Co
0.5000 0.3109 0.2516 Co
0.5000 0.5338 0.8085 As
```

# 5
## BaCa2Al (PBE)

Data for crystalline BaCa2Al at its relaxed geometry.

Calculated values
Its crystal system is tetragonal. The total moment is 0.00 Bohr magnetons per cell. As for the space group: P4mm, No. 99. The formation energy is -63 meV/atom.

POSCAR file:
```
BaCa2Al
1.0
4.0117 0.0000 0.0000
0.0000 4.0117 0.0000
0.0000 0.0000 9.5535
Ca Al Ba
2 1 1
Direct
0.0000 0.0000 0.9657 Ca
0.5000 0.5000 0.6937 Ca
0.0000 0.0000 0.5364 Al
0.5000 0.5000 0.3042 Ba
```

# 6
## K3CoCu2Cl9 (PBE)

Data for crystalline K3CoCu2Cl9 at its relaxed geometry.

Calculated values
Its crystal system is trigonal. The total moment is 0.22 Bohr magnetons per cell. As for the space group: P-3m1, No. 164. The uncorrected formation energy comes out at -1.07 eV/atom.

POSCAR file:
```
K3CoCu2Cl9
1.0
6.8443 0.0000 0.0000
-3.4221 5.9273 0.0000
0.0000 0.0000 8.3543
Cl Cu Co K
9 2 1 3
Direct
0.1603 0.8397 0.3405 Cl
0.5000 0.5000 0.0000 Cl
0.6794 0.8397 0.3405 Cl
0.3206 0.1603 0.6595 Cl
0.1603 0.3206 0.3405 Cl
0.8397 0.6794 0.6595 Cl
0.8397 0.1603 0.6595 Cl
0.5000 0.0000 0.0000 Cl
0.0000 0.5000 0.0000 Cl
0.3333 0.6667 0.1619 Cu
0.6667 0.3333 0.8381 Cu
0.0000 0.0000 0.5000 Co
0.3333 0.6667 0.6690 K
0.6667 0.3333 0.3310 K
0.0000 0.0000 0.0000 K
```

Which formula does entry 5 have?
BaCa2Al